# 1
This record from the Open Quantum Materials Database describes crystalline Th2Al3Zn at its relaxed geometry. The functional is PBE.

Cell and atoms, written as POSCAR:
```
Th2Al3Zn
1.0
0.000 4.393 7.607
4.149 0.000 7.607
4.149 4.393 0.000
Th Al Zn
4 6 2
direct
0.248 0.752 0.752
0.250 0.250 0.250
0.750 0.750 0.750
0.752 0.248 0.248
0.168 0.168 0.832
0.168 0.663 0.337
0.337 0.832 0.168
0.663 0.168 0.832
0.832 0.337 0.663
0.832 0.832 0.168
0.333 0.333 0.667
0.667 0.667 0.333
```

SG	Fmmm
uncorrected energy	-4.971	eV per atom
calculated volume	23.1	Å³/atom



# 2
This record from the Open Quantum Materials Database describes crystalline Er2Tm3Lu2Ni2Te2 at its relaxed geometry. The functional is PBE.

Cell and atoms, written as POSCAR:
```
Er2Tm3Lu2Ni2Te2
1.0
-1.907 7.667 4.722
1.907 -7.667 4.722
1.907 7.667 -4.722
Er Tm Lu Ni Te
2 3 2 2 2
direct
0.147 0.000 0.147
0.853 0.000 0.853
0.218 0.853 0.365
0.488 0.853 0.635
0.771 0.271 0.500
0.463 0.648 0.815
0.833 0.648 0.185
0.076 0.340 0.736
0.603 0.340 0.264
0.110 0.610 0.500
0.505 0.505 0.000
```

SG	Imm2
uncorrected energy	-5.139	eV per atom
calculated volume	25.1	Å³/atom